Record 1
# Tc2PtPb PBE-GGA optimized geometry
# Offset from the most stable computed form: 334 meV/atom
# Formation energy: 0.576 eV/atom
data_Tc2PtPb
_chemical_formula_sum 'Tc6 Pt3 Pb3'
_cell_length_a 2.9613
_cell_length_b 2.9613
_cell_length_c 27.1250
_cell_angle_alpha 90.00
_cell_angle_beta 90.00
_cell_angle_gamma 120.00
_symmetry_space_group_name_H-M 'R -3 m'
_symmetry_Int_Tables_number 166
_symmetry_space_group_name_Hall '-R 3 2"'
loop_
_atom_site_label
_atom_site_type_symbol
_atom_site_fract_x
_atom_site_fract_y
_atom_site_fract_z
Tc1 Tc 0.0000 0.0000 0.2455
Pt1 Pt 0.0000 0.0000 0.5000
Pb1 Pb 0.0000 0.0000 0.0000

Record 2
# Tc2PtPb PBE-GGA optimized geometry
# Offset from the most stable computed form: 119 meV/atom
# Formation energy: 0.360 eV/atom
data_Tc2PtPb
_chemical_formula_sum 'Tc4 Pt2 Pb2'
_cell_length_a 9.1941
_cell_length_b 2.9274
_cell_length_c 5.4056
_cell_angle_alpha 90.00
_cell_angle_beta 103.39
_cell_angle_gamma 90.00
_symmetry_space_group_name_H-M 'C 1 2/m 1'
_symmetry_Int_Tables_number 12
_symmetry_space_group_name_Hall '-C 2y'
loop_
_atom_site_label
_atom_site_type_symbol
_atom_site_fract_x
_atom_site_fract_y
_atom_site_fract_z
Tc1 Tc 0.2488 0.0000 0.1979
Pt1 Pt 0.0000 0.5000 0.0000
Pb1 Pb 0.0000 0.0000 0.5000